# PBE with a Hubbard U LiPaNiO6, optimized geometry
data_LiPaNiO6
_chemical_formula_sum 'Li1 Pa1 Ni1 O6'
_space_group_name_H-M_alt 'P 3 1 2'
_space_group_IT_number 149
_cell_length_a 5.0499
_cell_length_b 5.0499
_cell_length_c 4.6485
_cell_angle_alpha 90.00
_cell_angle_beta 90.00
_cell_angle_gamma 120.00
loop_
_space_group_symop_operation_xyz
'x,y,z'
'-y,x-y,z'
'-x+y,-x,z'
'-y,-x,-z'
'-x+y,y,-z'
'x,x-y,-z'
loop_
_atom_site_label
_atom_site_fract_x
_atom_site_fract_y
_atom_site_fract_z
Li1 0.0000 0.0000 0.0000
Pa1 0.3333 0.6667 0.5000
Ni1 0.6667 0.3333 0.0000
O1 0.3637 0.0297 0.2283
# * crystal system: trigonal
# * DFT total energy: -58.11 eV/cell